{"formula": "Ba3NdSm3Te8", "functional": "PBE", "state": "relaxed", "cell": [[9.142, 0.002, 0.001], [-4.569, 7.912, -0.028], [-0.001, -5.243, 8.028]], "species": ["Ba", "Te", "Te", "Te", "Ba", "Te", "Te", "Sm", "Nd", "Te", "Sm", "Te", "Ba", "Te", "Sm"], "frac_coords": [[0.000, 0.000, 0.000], [0.244, 0.488, 0.723], [0.259, 0.519, 0.278], [0.244, 0.978, 0.723], [0.000, 0.500, 0.000], [0.756, 0.022, 0.277], [0.741, 0.481, 0.722], [0.500, 0.500, 0.500], [0.000, 0.000, 0.500], [0.266, 0.021, 0.277], [0.000, 0.500, 0.500], [0.734, 0.979, 0.723], [0.500, 0.500, 0.000], [0.756, 0.512, 0.277], [0.500, 0.000, 0.500]], "dft_energy_ry_per_atom": -0.3592, "raw_formation_energy_ev_per_atom": -1.5655, "magnetic_moment_mub_per_cell": 0.00}

{"formula": "Li2Ge2Ru", "functional": "PBE", "state": "relaxed", "cell": [[6.615, 0.000, 0.000], [0.000, 6.615, 0.000], [0.000, 0.000, 3.431]], "species": ["Li", "Li", "Ge", "Ru", "Li", "Ge", "Ge", "Li", "Ru", "Ge"], "frac_coords": [[0.341, 0.159, 0.500], [0.659, 0.841, 0.500], [0.853, 0.647, 0.000], [0.000, 0.000, 0.000], [0.159, 0.659, 0.500], [0.647, 0.147, 0.000], [0.147, 0.353, 0.000], [0.841, 0.341, 0.500], [0.500, 0.500, 0.000], [0.353, 0.853, 0.000]], "dft_energy_ry_per_atom": -0.3420, "e_form_mev_per_atom": -185, "polymorph_energy_mev_per_atom": 53.3, "magnetic_moment_mub_per_cell": 0.00}

{"formula": "BaGaHgAu2", "functional": "PBE", "state": "relaxed", "cell": [[5.092, 0.000, 0.000], [0.000, 5.092, 0.000], [0.000, 0.000, 5.307]], "species": ["Au", "Au", "Hg", "Ga", "Ba"], "frac_coords": [[0.500, 0.000, 0.000], [0.000, 0.500, 0.000], [0.000, 0.000, 0.500], [0.000, 0.000, 0.000], [0.500, 0.500, 0.500]], "dft_energy_ry_per_atom": -0.2025, "e_form_mev_per_atom": -394, "polymorph_energy_mev_per_atom": 75.5, "magnetic_moment_mub_per_cell": 0.00}

{"formula": "SiH12C4O4", "functional": "PBE", "state": "relaxed", "cell": [[-5.905, 5.905, 2.999], [5.905, -5.905, 2.999], [5.905, 5.905, -2.999]], "species": ["C", "H", "H", "H", "H", "H", "C", "H", "H", "O", "O", "H", "H", "O", "H", "H", "Si", "H", "H", "H", "H", "H", "H", "H", "C", "C", "C", "H", "O", "H", "C", "H", "C", "C", "O", "H", "H", "O", "Si", "O", "H", "O"], "frac_coords": [[0.710, 0.734, 0.818], [0.932, 0.595, 0.627], [0.152, 0.350, 0.917], [0.845, 0.718, 0.162], [0.816, 0.514, 0.417], [0.694, 0.068, 0.662], [0.142, 0.460, 0.476], [0.098, 0.400, 0.583], [0.556, 0.682, 0.838], [0.492, 0.939, 0.824], [0.918, 0.242, 0.053], [0.282, 0.444, 0.127], [0.998, 0.407, 0.100], [0.115, 0.668, 0.176], [0.318, 0.155, 0.873], [0.600, 0.184, 0.698], [0.250, 0.750, 0.500], [0.486, 0.902, 0.302], [0.147, 0.748, 0.091], [0.593, 0.693, 0.591], [0.405, 0.032, 0.338], [0.764, 0.848, 0.198], [0.657, 0.057, 0.909], [0.943, 0.853, 0.600], [0.334, 0.858, 0.318], [0.984, 0.666, 0.524], [0.540, 0.016, 0.682], [0.968, 0.306, 0.373], [0.135, 0.082, 0.324], [0.252, 0.343, 0.400], [0.916, 0.892, 0.182], [0.650, 0.566, 0.802], [0.266, 0.084, 0.976], [0.108, 0.290, 0.024], [0.758, 0.811, 0.676], [0.307, 0.897, 0.900], [0.434, 0.236, 0.083], [0.061, 0.885, 0.553], [0.000, 0.000, 0.000], [0.332, 0.508, 0.447], [0.103, 0.002, 0.409], [0.189, 0.865, 0.947]], "dft_energy_ry_per_atom": -0.3937, "magnetic_moment_mub_per_cell": 0.00}

{"formula": "LiCaSe2", "functional": "PBE", "state": "relaxed", "cell": [[-4.809, 5.138, -2.144], [-1.239, -4.169, 2.149], [-2.000, 1.898, 2.512]], "species": ["Li", "Ca", "Se", "Se"], "frac_coords": [[0.500, 0.500, 0.000], [0.000, 0.500, 0.500], [0.000, 0.000, 0.000], [0.500, 0.000, 0.500]], "dft_energy_ry_per_atom": -0.2887, "raw_formation_energy_ev_per_atom": -1.2070, "magnetic_moment_mub_per_cell": 0.00}

{"formula": "LaMgSe3", "functional": "PBE", "state": "relaxed", "cell": [[-3.259, -1.070, -3.683], [3.778, -1.727, -2.841], [-0.660, -4.605, 1.922]], "species": ["La", "Se", "Se", "Se", "Mg"], "frac_coords": [[0.500, 0.500, 0.500], [0.000, 0.000, 0.500], [0.500, 0.000, 0.000], [0.000, 0.500, 0.000], [0.000, 0.000, 0.000]], "dft_energy_ry_per_atom": -0.3268, "polymorph_energy_mev_per_atom": 153.8, "raw_formation_energy_ev_per_atom": -1.0518, "magnetic_moment_mub_per_cell": 0.00}

{"formula": "Sr2MgZn6Ir", "functional": "PBE", "state": "relaxed", "cell": [[6.588, 0.000, 0.000], [3.294, 5.706, 0.000], [3.294, 1.902, 11.907]], "species": ["Zn", "Zn", "Sr", "Zn", "Zn", "Ir", "Zn", "Sr", "Zn", "Zn", "Zn", "Ir", "Sr", "Mg", "Sr", "Mg", "Zn", "Zn", "Zn", "Zn"], "frac_coords": [[0.774, 0.365, 0.087], [0.226, 0.226, 0.913], [0.896, 0.896, 0.313], [0.322, 0.934, 0.422], [0.365, 0.774, 0.087], [0.500, 0.500, 0.500], [0.322, 0.322, 0.422], [0.104, 0.104, 0.687], [0.635, 0.226, 0.913], [0.226, 0.635, 0.913], [0.774, 0.774, 0.087], [0.000, 0.000, 0.000], [0.279, 0.279, 0.164], [0.573, 0.573, 0.280], [0.721, 0.721, 0.836], [0.427, 0.427, 0.720], [0.678, 0.066, 0.578], [0.934, 0.322, 0.422], [0.678, 0.678, 0.578], [0.066, 0.678, 0.578]], "dft_energy_ry_per_atom": -0.1735, "e_form_mev_per_atom": -214, "magnetic_moment_mub_per_cell": 0.00}

{"formula": "NaZr3Se", "functional": "PBE", "state": "relaxed", "cell": [[5.006, 0.000, 0.000], [0.000, 5.006, 0.000], [0.000, 0.000, 5.006]], "species": ["Se", "Na", "Zr", "Zr", "Zr"], "frac_coords": [[0.500, 0.500, 0.500], [0.000, 0.000, 0.000], [0.000, 0.500, 0.000], [0.000, 0.000, 0.500], [0.500, 0.000, 0.000]], "dft_energy_ry_per_atom": -0.3516, "polymorph_energy_mev_per_atom": 1189.7, "raw_formation_energy_ev_per_atom": 1.3062, "magnetic_moment_mub_per_cell": 1.83}